(1)
A PBEsol-optimized structure of OsPbAu2, computed with SCAN.

Properties
Energy relative to the elements = 0.623 eV per atom

Cell lengths 11.8581, 2.9724, 4.6042 Å; angles 90.00, 112.77, 90.00 degrees
Closest atoms and distances in Å follow each position.
Space group C2/m (No. 12)
Unique sites:
Os  0.0000  0.0000  0.0000  4 Pb 2.74, 4 Au 2.77, 2 Os 2.97
Pb  0.0000  0.5000  0.5000  4 Os 2.74, 2 Pb 2.97
Au  0.2143  0.5000  0.2144  2 Os 2.77, 6 Au 2.85-2.97

=====

(2)
A PBEsol-optimized structure of Zr2Tc, computed with SCAN.

Properties
Energy relative to the elements = -0.260 eV per atom
Excess energy over the best structure of this formula in the dataset = 2.01 kcal/mol of atoms

Cell lengths 12.2832, 12.2832, 12.2832 Å; angles 90.00, 90.00, 90.00 degrees
Closest atoms and distances in Å follow each position.
Space group Fd-3m (No. 227, origin choice 2)
Unique sites:
Zr  0.0000  0.0000  0.0000  6 Tc 2.68
Zr  0.0625  0.3750  0.8750  4 Tc 2.86-3.16, 2 Zr 3.16
Tc  0.0391  0.0391  0.2109  6 Zr 2.68-2.86, 3 Tc 2.99